(1)
DFT (PBE) results for an optimized crystal structure of Tm2Re2O7.

Cell: 7.1813 7.1813 7.1813 Å, 90.45 120.27 119.21°
Each line ends with the local moment (μB).
Atoms (fractional coordinates):
O (0.4983, 0.4164, 0.8432)  0.08
O (0.5169, 0.8703, 0.8677)  0.06
O (0.0026, 0.3703, 0.8535)  0.06
O (0.0026, 0.6491, 0.1323)  0.06
Tm (0.2617, 0.7617, 0.5000)  0.09
O (0.5732, 0.6551, 0.1568)  0.08
Tm (0.7634, 0.2594, 0.0040)  0.10
O (0.1090, 0.0104, 0.5986)  0.08
Tm (0.2554, 0.7594, 0.9960)  0.10
O (0.9480, 0.6046, 0.5825)  0.08
O (0.0220, 0.1046, 0.1565)  0.08
Re (0.7602, 0.7602, 0.0000)  2.28
Re (0.7602, 0.2602, 0.5000)  2.28
Re (0.7604, 0.7606, 0.4998)  1.97
O (0.4118, 0.5104, 0.4014)  0.08
Re (0.2608, 0.2606, 0.5002)  1.97
O (0.5732, 0.9164, 0.4181)  0.08
Tm (0.2617, 0.2617, 0.0000)  0.09
O (0.5169, 0.1491, 0.1465)  0.06
O (0.4983, 0.1551, 0.5819)  0.08
O (0.9480, 0.8655, 0.8435)  0.08
O (0.0220, 0.3655, 0.4175)  0.08

Values from the calculation:
Volume = 263 Å³ per cell
E_tot = -93.0 eV/f.u.

---

(2)
DFT (PBE) results for an optimized crystal structure of Tm2Re2O5.

Cell: 6.7088 3.9547 3.9547 Å, 90.00 90.00 90.00°
Atoms (fractional coordinates):
O (0.2434, 0.5000, 0.0000)
O (0.5000, 0.5000, 0.5000)
Tm (0.5000, 0.0000, 0.0000)
O (0.7566, 0.0000, 0.5000)
O (0.7566, 0.5000, 0.0000)
Re (0.1753, 0.5000, 0.5000)
Re (0.8247, 0.5000, 0.5000)
Tm (0.0000, 0.0000, 0.0000)
O (0.2434, 0.0000, 0.5000)

Values from the calculation:
Volume = 105 Å³ per cell
Relative energy among the computed polymorphs = 0.0000 eV per atom

---

(3)
DFT (PBE) results for an optimized crystal structure of Tm2Re2O5.

Cell: 9.3347 3.4959 3.4959 Å, 90.00 90.00 90.00°
Each line ends with the local moment (μB).
Atoms (fractional coordinates):
Tm (0.2650, 0.5000, 0.5000)  -0.01
Re (0.5000, 0.0000, 0.0000)  1.30
Re (0.0000, 0.0000, 0.0000)  1.10
O (0.8744, 0.0000, 0.5000)  0.02
O (0.1256, 0.0000, 0.5000)  0.02
O (0.5000, 0.5000, 0.5000)  0.01
O (0.1256, 0.5000, 0.0000)  0.05
Tm (0.7350, 0.5000, 0.5000)  -0.01
O (0.8744, 0.5000, 0.0000)  0.05

Values from the calculation:
Volume = 114 Å³ per cell
Relative energy among the computed polymorphs = 0.3063 eV per atom

---

(4)
DFT (PBE) results for an optimized crystal structure of TmRe2O6.

Cell: 5.2070 5.2070 4.7518 Å, 90.00 90.00 120.00°
Each line ends with the local moment (μB).
Atoms (fractional coordinates):
Tm (0.0000, 0.0000, 0.0000)  0.15
Re (0.3333, 0.6667, 0.5000)  1.99
O (0.0000, 0.3504, 0.2712)  0.11
O (0.6496, 0.6496, 0.2712)  0.11
O (0.6496, 0.0000, 0.7288)  0.10
O (0.0000, 0.6496, 0.7288)  0.11
O (0.3504, 0.3504, 0.7288)  0.11
Re (0.6667, 0.3333, 0.5000)  1.99
O (0.3504, 0.0000, 0.2712)  0.10

Values from the calculation:
Volume = 112 Å³ per cell
E_tot = -76.1 eV/f.u.

---

(5)
DFT (PBE) results for an optimized crystal structure of TmReO3.

Cell: 5.1151 7.5662 6.2605 Å, 90.00 90.00 90.00°
Atoms (fractional coordinates):
Tm (0.5000, 0.5000, 0.5000)
O (0.1180, 0.9288, 0.3338)
O (0.8732, 0.2500, 0.1659)
O (0.6268, 0.7500, 0.6659)
O (0.1268, 0.7500, 0.8341)
O (0.6180, 0.5712, 0.1662)
Re (0.4997, 0.2500, 0.0266)
Tm (0.0000, 0.5000, 0.0000)
O (0.8820, 0.0712, 0.6662)
Re (0.0003, 0.7500, 0.5266)
O (0.8820, 0.4288, 0.6662)
Re (0.5003, 0.7500, 0.9734)
O (0.3732, 0.2500, 0.3341)
O (0.3820, 0.0712, 0.8338)
Re (0.9997, 0.2500, 0.4734)
O (0.6180, 0.9288, 0.1662)
O (0.3820, 0.4288, 0.8338)
Tm (0.0000, 0.0000, 0.0000)
Tm (0.5000, 0.0000, 0.5000)
O (0.1180, 0.5712, 0.3338)

Values from the calculation:
Volume = 242 Å³ per cell
E_tot = -41.0 eV/f.u.

---

(6)
DFT (PBE) results for an optimized crystal structure of Y3ReO8.

Cell: 7.1846 6.0124 14.3713 Å, 90.00 111.32 90.00°
Atoms (fractional coordinates):
O (0.2535, 0.0469, 0.4039)
Re (0.8213, 0.2544, 0.5912)
Y (0.6619, 0.6982, 0.4455)
O (0.8831, 0.5537, 0.5880)
Y (0.4046, 0.2404, 0.2979)
O (0.6460, 0.9699, 0.3429)
O (0.6894, 0.0304, 0.8270)
Re (0.1787, 0.7544, 0.9088)
Y (0.5954, 0.7404, 0.2021)
Y (0.3381, 0.1982, 0.0545)
O (0.1169, 0.4463, 0.4120)
O (0.7465, 0.5469, 0.0961)
Y (0.3381, 0.3018, 0.5545)
O (0.6675, 0.1433, 0.1710)
O (0.4155, 0.6942, 0.5212)
O (0.5845, 0.1942, 0.9788)
O (0.6460, 0.5301, 0.8429)
O (0.0358, 0.2041, 0.7159)
O (0.3325, 0.8567, 0.8290)
Y (0.4046, 0.2596, 0.7979)
Re (0.8213, 0.2456, 0.0912)
O (0.9642, 0.7959, 0.2841)
O (0.9642, 0.7041, 0.7841)
O (0.8831, 0.9463, 0.0880)
O (0.3106, 0.9696, 0.1730)
O (0.6675, 0.3567, 0.6710)
Y (0.1061, 0.8149, 0.6653)
O (0.2535, 0.4531, 0.9039)
Y (0.1061, 0.6851, 0.1653)
O (0.9826, 0.3066, 0.0214)
O (0.9826, 0.1934, 0.5214)
O (0.7465, 0.9531, 0.5961)
O (0.0358, 0.2959, 0.2159)
O (0.0174, 0.8066, 0.4786)
O (0.1169, 0.0537, 0.9120)
O (0.0174, 0.6934, 0.9786)
O (0.3106, 0.5304, 0.6731)
Y (0.5954, 0.7596, 0.7021)
O (0.3325, 0.6433, 0.3290)
Y (0.8939, 0.1851, 0.3347)
O (0.3540, 0.4699, 0.1571)
O (0.5845, 0.3058, 0.4788)
Y (0.8939, 0.3149, 0.8347)
Re (0.1787, 0.7456, 0.4088)
Y (0.6619, 0.8018, 0.9455)
O (0.3540, 0.0301, 0.6571)
O (0.4155, 0.8058, 0.0212)
O (0.6894, 0.4696, 0.3269)

Values from the calculation:
Volume = 578 Å³ per cell
E_tot = -105.2 eV/f.u.

---

(7)
DFT (PBE) results for an optimized crystal structure of Y2ReO4.

Cell: 6.7132 6.7132 6.7132 Å, 119.99 90.01 119.99°
Each line ends with the local moment (μB).
Atoms (fractional coordinates):
Re (0.0000, 0.0000, 0.0000)  3.81
Y (0.3750, 0.2500, 0.6250)  0.09
O (0.5938, 0.7291, 0.8646)  0.08
O (0.1355, 0.2709, 0.8646)  0.09
O (0.6145, 0.2291, 0.3854)  0.09
O (0.6146, 0.2291, 0.8438)  0.09
Y (0.3750, 0.7500, 0.6250)  0.09
Y (0.3750, 0.7500, 0.1250)  0.09
O (0.1562, 0.7709, 0.3854)  0.08
Y (0.8750, 0.2500, 0.6250)  0.09
O (0.1354, 0.7291, 0.8645)  0.08
O (0.6146, 0.7709, 0.3855)  0.08
Re (0.7500, 0.5000, 0.2500)  3.81
O (0.1354, 0.2709, 0.4062)  0.09

Values from the calculation:
Volume = 214 Å³ per cell
E_tot = -59.3 eV/f.u.

---

(8)
DFT (PBE) results for an optimized crystal structure of ZnReO3.

Cell: 5.1614 5.6024 7.4216 Å, 90.08 90.00 90.11°
Each line ends with the local moment (μB).
Atoms (fractional coordinates):
Zn (0.2942, 0.2515, 0.5000)  0.01
Zn (0.7059, 0.7486, 0.4993)  0.02
Re (0.2503, 0.7444, 0.2497)  0.75
O (0.0061, 0.4900, 0.1748)  0.04
Re (0.7507, 0.2442, 0.2498)  0.59
O (0.4162, 0.7499, 0.9999)  0.03
O (0.4993, 0.9942, 0.3246)  0.04
Zn (0.2067, 0.2480, 0.0000)  0.01
O (0.4985, 0.5044, 0.6743)  0.04
O (0.9972, 0.9897, 0.1742)  0.04
O (0.5840, 0.2503, 0.9995)  0.02
Zn (0.7936, 0.7522, 0.9992)  0.02
O (0.0030, 0.0103, 0.8251)  0.04
O (0.9168, 0.2500, 0.5001)  0.02
O (0.0835, 0.7502, 0.4992)  0.03
Re (0.7497, 0.2557, 0.7496)  0.68
O (0.5016, 0.4959, 0.3251)  0.04
O (0.5007, 0.0058, 0.6748)  0.04
Re (0.2497, 0.7559, 0.7495)  0.66
O (0.9942, 0.5103, 0.8246)  0.04

Values from the calculation:
Volume = 215 Å³ per cell
E_tot = -34.1 eV/f.u.